The following is a PBE-GGA calculation of a geometry-optimized Ac2La2Au5 structure, from Alexandria.

Results
Energy of formation from the pure elements = -6.76 eV per formula unit
Total energy = -164.9 eV for the cell shown
Crystal system = orthorhombic
N(E_F) = 24.7 states/eV per cell
V = 29.834 A^3/atom
Density = 10.62 g/cm³
Total moment = 0.000 μB per cell

Unit cell a=15.8354 b=8.2268 c=8.2442 alpha=90.00 beta=90.00 gamma=90.00
With the nearest neighbours (Å) after each atom.
Space group Cmce (No. 64)
Asymmetric unit:
Ac 0.1996 0.0000 0.0000 (multiplicity 8)  7 Au 3.16-3.33
La 0.0000 0.1560 0.3441 (multiplicity 8)  8 Au 3.08-3.26
Au 0.0000 0.0000 0.0000 (multiplicity 4)  4 La 3.11, 2 Ac 3.16
Au 0.1316 0.1492 0.6481 (multiplicity 16)  3 La 3.08-3.26, 3 Ac 3.19-3.33

The following is a PBE-GGA calculation of a geometry-optimized Ac2LaAu2 structure, from Alexandria.

Results
Energy of formation from the pure elements = -3.18 eV per formula unit
Total energy = -45.8 eV for the cell shown
Crystal system = tetragonal
N(E_F) = 11.1 states/eV per cell
V = 31.911 A^3/atom
Density = 10.27 g/cm³
Total moment = 0.000 μB per cell

Unit cell a=8.7398 b=8.7398 c=4.1777 alpha=90.00 beta=90.00 gamma=90.00
With the nearest neighbours (Å) after each atom.
Space group P4/mbm (No. 127)
Asymmetric unit:
Ac 0.1641 0.3359 0.0000 (multiplicity 4)  6 Au 3.28-3.33
La 0.0000 0.0000 0.5000 (multiplicity 2)  4 Au 3.42
Au 0.1308 0.6308 0.5000 (multiplicity 4)  1 Au 3.23, 6 Ac 3.28-3.33, 2 La 3.42

The following is a PBE-GGA calculation of a geometry-optimized Ac2LaAu structure, from Alexandria.

Results
Energy of formation from the pure elements = -1.43 eV per formula unit
Total energy = -17.9 eV for the cell shown
Crystal system = tetragonal
Relative energy among the computed polymorphs = 0.0377 eV per atom
N(E_F) = 5.9 states/eV per cell
V = 35.832 A^3/atom
Density = 9.15 g/cm³
Total moment = 0.000 μB per cell

Unit cell a=3.9222 b=3.9222 c=9.3172 alpha=90.00 beta=90.00 gamma=90.00
With the nearest neighbours (Å) after each atom.
Space group P4/mmm (No. 123)
Asymmetric unit:
Ac 0.0000 0.0000 0.2051 (multiplicity 2)  4 Au 3.37
La 0.5000 0.5000 0.5000 (multiplicity 1)  8 Ac 3.90, 4 La 3.92
Au 0.5000 0.5000 0.0000 (multiplicity 1)  8 Ac 3.37

The following is a PBE-GGA calculation of a geometry-optimized AcLaAu structure, from Alexandria.

Results
Energy of formation from the pure elements = -1.14 eV per formula unit
Total energy = -13.4 eV for the cell shown
Crystal system = trigonal
Relative energy among the computed polymorphs = 0.1523 eV per atom
N(E_F) = 2.2 states/eV per cell
V = 32.220 A^3/atom
Density = 9.67 g/cm³
Total moment = 0.000 μB per cell

Unit cell a=5.1464 b=5.1464 c=4.2141 alpha=90.00 beta=90.00 gamma=120.00
With the nearest neighbours (Å) after each atom.
Space group P3m1 (No. 156)
Asymmetric unit:
Ac 0.0000 0.0000 0.0000 (multiplicity 1)  3 Au 3.29, 3 La 3.50
La 0.3333 0.6667 0.5628 (multiplicity 1)  3 Au 3.13, 3 Ac 3.50
Au 0.6667 0.3333 0.3331 (multiplicity 1)  3 La 3.13, 3 Ac 3.29